1.
Entry from the Alexandria database: a relaxed structure of LaPm2YTm2 (GGA-PBE).

Cell and atoms, written as extended XYZ:
```
12
Lattice="-1.9304 1.6178 5.0829 -7.5497 -6.3303 -0.8524 3.8664 -5.0242 3.0674" Properties=species:S:1:pos:R:3 pbc="T T T"
La 0.0000 0.0000 0.0000
Pm -6.2736 -5.7415 2.6102
Tm -4.3559 -8.2375 4.1330
Tm -4.0640 -5.4778 0.2000
Pm 0.6600 -3.9952 4.6877
Pm -1.5643 -3.3454 0.4707
Tm 0.3807 -5.8767 2.0150
Y -4.7400 -2.3563 2.1152
La -2.8068 -4.8684 3.6490
Tm -1.2578 -1.4993 3.1649
Pm -2.1190 -8.0091 1.7443
Y 1.9332 -2.5121 1.5337
```

Calculated values
total moment: 0.00 μB/f.u.
V: 197.5 Å³/f.u.
ΔE_f: 0.06 eV per atom


2.
Entry from the Alexandria database: a relaxed structure of NbCoCuPt (GGA-PBE).

Cell and atoms, written as extended XYZ:
```
4
Lattice="4.3286 0.0000 0.0000 2.1643 3.7487 0.0000 2.1643 1.2496 3.5343" Properties=species:S:1:pos:R:3 pbc="T T T"
Co 2.1643 1.2496 0.8836
Cu 4.3286 2.4991 1.7671
Nb 0.0000 0.0000 0.0000
Pt 6.4929 3.7487 2.6507
```

Calculated values
total moment: 1.01 μB/f.u.
V: 57.3 Å³/f.u.
ΔE_f: -0.20 eV per atom


3.
Entry from the Alexandria database: a relaxed structure of CsCa3O (GGA-PBE).

Cell and atoms, written as extended XYZ:
```
5
Lattice="5.4177 0.0000 0.0000 0.0000 5.4177 0.0000 0.0000 0.0000 5.4177" Properties=species:S:1:pos:R:3 pbc="T T T"
Ca 0.0000 2.7088 0.0000
Ca 0.0000 0.0000 2.7088
O 0.0000 0.0000 0.0000
Ca 2.7088 0.0000 0.0000
Cs 2.7088 2.7088 2.7088
```

Calculated values
total moment: 0.00 μB/f.u.
ΔE to the lowest computed polymorph: 0 meV/atom
V: 159.0 Å³/f.u.
energy relative to the elements, uncorrected: -51.9 kJ per mole of atoms


4.
Entry from the Alexandria database: a relaxed structure of BaRuPb (GGA-PBE).

Cell and atoms, written as extended XYZ:
```
3
Lattice="5.0017 0.0000 0.0000 2.5009 4.3316 0.0000 2.5009 1.4439 4.0839" Properties=species:S:1:pos:R:3 pbc="T T T"
Ru 7.5026 4.3316 3.0629
Pb 5.0017 2.8878 2.0420
Ba 0.0000 0.0000 0.0000
```

Calculated values
total moment: 0.00 μB/f.u.
V: 88.5 Å³/f.u.
ΔE_f: 0.33 eV per atom


The highest total moment belongs to which entry?
NbCoCuPt


Number 3 is which compound?
CsCa3O


Among the records above, which one has the highest total moment?
NbCoCuPt